This record from Alexandria describes a relaxed structure of ZrAl2As. The functional is PBE.

Results
VASP energy: -5.60 eV/atom
ΔE_f: -0.4271 eV per atom

Lattice parameters (Å, degrees): 5.4928 5.4928 3.8893 110.53 110.53 41.37
Fractional coordinates of all 4 atoms:
Zr1 0.0000 0.0000 0.0000
Al1 0.2498 0.2498 0.7498
Al2 0.7502 0.7502 0.2502
As1 0.5000 0.5000 0.5000